1.
MnInSb | GGA-PBE | optimized geometry

Summary:
Formation energy (no corrections) ... 0.50 eV per formula unit
Total DFT energy (no corrections) ... -5.178 eV per atom

POSCAR file:
```
MnInSb
1.0
6.510 0.000 0.000
0.000 6.510 0.000
0.000 0.000 6.510
Mn In Sb
4 4 4
Direct
0.000 0.000 0.000 Mn
0.000 0.500 0.500 Mn
0.500 0.000 0.500 Mn
0.500 0.500 0.000 Mn
0.250 0.250 0.250 In
0.250 0.750 0.750 In
0.750 0.250 0.750 In
0.750 0.750 0.250 In
0.250 0.250 0.750 Sb
0.250 0.750 0.250 Sb
0.750 0.250 0.250 Sb
0.750 0.750 0.750 Sb
```

=====

2.
PrSm6Er | GGA-PBE | optimized geometry

Summary:
Energy of formation ... 0.020 eV per atom
Total DFT energy (no corrections) ... -4.687 eV per atom

POSCAR file:
```
PrSm6Er
1.0
5.123 0.000 0.000
0.000 5.123 0.000
0.000 0.000 10.238
Pr Sm Er
1 6 1
Direct
0.000 0.000 0.000 Pr
0.000 0.500 0.253 Sm
0.000 0.500 0.747 Sm
0.500 0.000 0.253 Sm
0.500 0.000 0.747 Sm
0.500 0.500 0.000 Sm
0.500 0.500 0.500 Sm
0.000 0.000 0.500 Er
```

=====

3.
FeSnTeI2 | GGA-PBE | optimized geometry

Summary:
Formation energy (no corrections) ... 1.17 eV per formula unit
Total DFT energy (no corrections) ... -3.508 eV per atom

POSCAR file:
```
FeSnTeI2
1.0
5.304 0.000 0.000
0.000 5.304 0.000
0.000 0.000 5.438
Fe Sn Te I
1 1 1 2
Direct
0.000 0.000 0.000 Fe
0.500 0.500 0.500 Sn
0.000 0.000 0.500 Te
0.000 0.500 0.000 I
0.500 0.000 0.000 I
```

=====

4.
Tb2ErTe4 | GGA-PBE | optimized geometry

Summary:
Formation energy (no corrections) ... -9.65 eV per formula unit
Total DFT energy (no corrections) ... -5.148 eV per atom

POSCAR file:
```
Tb2ErTe4
1.0
16.227 0.000 0.000
0.000 4.340 0.000
-3.511 0.000 6.718
Tb Er Te
4 2 8
Direct
0.244 0.000 0.230 Tb
0.256 0.500 0.770 Tb
0.744 0.500 0.230 Tb
0.756 0.000 0.770 Tb
0.000 0.500 0.500 Er
0.500 0.000 0.500 Er
0.119 0.500 0.949 Te
0.127 0.000 0.464 Te
0.373 0.500 0.536 Te
0.381 0.000 0.051 Te
0.619 0.000 0.949 Te
0.627 0.500 0.464 Te
0.873 0.000 0.536 Te
0.881 0.500 0.051 Te
```

=====

5.
PmPr2Sm12 | GGA-PBE | optimized geometry

Summary:
Energy of formation ... 0.152 eV per atom
Total DFT energy (no corrections) ... -4.577 eV per atom

POSCAR file:
```
PmPr2Sm12
1.0
3.591 -5.791 0.000
3.591 5.791 0.000
0.000 0.000 25.095
Pm Pr Sm
2 4 24
Direct
0.250 0.750 0.999 Pm
0.750 0.250 0.001 Pm
0.250 0.750 0.267 Pr
0.250 0.750 0.726 Pr
0.750 0.250 0.274 Pr
0.750 0.250 0.733 Pr
0.002 0.502 0.872 Sm
0.002 0.998 0.077 Sm
0.019 0.519 0.418 Sm
0.023 0.977 0.559 Sm
0.250 0.250 0.200 Sm
0.250 0.250 0.328 Sm
0.250 0.250 0.672 Sm
0.250 0.250 0.800 Sm
0.477 0.523 0.559 Sm
0.481 0.981 0.418 Sm
0.498 0.502 0.077 Sm
0.498 0.998 0.872 Sm
0.502 0.002 0.128 Sm
0.502 0.498 0.923 Sm
0.519 0.019 0.582 Sm
0.523 0.477 0.441 Sm
0.750 0.750 0.200 Sm
0.750 0.750 0.328 Sm
0.750 0.750 0.672 Sm
0.750 0.750 0.800 Sm
0.977 0.023 0.441 Sm
0.981 0.481 0.582 Sm
0.998 0.002 0.923 Sm
0.998 0.498 0.128 Sm
```